Below is a relaxed Ba8SrCa3W4O24 crystal, with properties calculated at the PBE+U level.

Size of the total moment: 0.000 μB/atom
Crystal system: triclinic
E_tot: -6.998 eV per atom
SG: No. 2
D(E_F): 0.00 states/eV/f.u.

a b c (Å): 6.0317 10.4711 10.5640
angles (deg): 99.59 90.19 106.72
With the nearest neighbours (Å) after each atom.
Sites, in units of the cell vectors:
Ba: 0.0608 0.1265 0.1846  6 O 2.75-3.05
Ba: 0.1885 0.3798 0.5630  7 O 2.80-3.12
Ba: 0.3107 0.6240 0.9392  7 O 2.73-3.04
Ba: 0.4377 0.8734 0.3040  7 O 2.76-3.03
Ba: 0.5623 0.1266 0.6960  7 O 2.76-3.03
Ba: 0.6893 0.3760 0.0608  7 O 2.73-3.04
Ba: 0.8115 0.6202 0.4370  7 O 2.80-3.12
Ba: 0.9392 0.8735 0.8154  6 O 2.75-3.05
Sr: 0.0000 0.0000 0.5000  6 O 2.41-2.44
Ca: 0.2513 0.5002 0.2508  6 O 2.32-2.35
Ca: 0.5000 0.0000 0.0000  6 O 2.33-2.35
Ca: 0.7487 0.4998 0.7492  6 O 2.32-2.35
W: 0.1267 0.2517 0.8781  6 O 1.95-1.97
W: 0.3765 0.7473 0.6262  6 O 1.95-1.97
W: 0.6235 0.2527 0.3738  6 O 1.95-1.97
W: 0.8733 0.7483 0.1219  6 O 1.95-1.97
O: 0.0215 0.6344 0.2011  1 W 1.97
O: 0.0648 0.6514 0.6742  1 W 1.97
O: 0.0842 0.1246 0.7163  1 W 1.95
O: 0.1694 0.3764 0.0430  1 W 1.96
O: 0.1782 0.8512 0.0714  1 W 1.97
O: 0.2572 0.8690 0.5438  1 W 1.95
O: 0.2748 0.1361 0.9558  1 W 1.97
O: 0.3100 0.1635 0.4175  1 W 1.95
O: 0.3280 0.6208 0.4608  1 W 1.97
O: 0.4200 0.8747 0.7907  1 W 1.97
O: 0.4310 0.3523 0.8270  1 W 1.96
O: 0.4961 0.3755 0.2938  1 W 1.97
O: 0.5039 0.6245 0.7062  1 W 1.97
O: 0.5690 0.6477 0.1730  1 W 1.96
O: 0.5800 0.1253 0.2093  1 W 1.97
O: 0.6720 0.3792 0.5392  1 W 1.97
O: 0.6900 0.8365 0.5825  1 W 1.95
O: 0.7252 0.8639 0.0442  1 W 1.97
O: 0.7428 0.1310 0.4562  1 W 1.95
O: 0.8218 0.1488 0.9286  1 W 1.97
O: 0.8306 0.6236 0.9570  1 W 1.96
O: 0.9158 0.8754 0.2837  1 W 1.95
O: 0.9352 0.3486 0.3258  1 W 1.97
O: 0.9785 0.3656 0.7989  1 W 1.97